DFT (PBE) results for a relaxed HfU5P6 crystal.

For the formation energy, the calculation gives -1.035 eV per atom. The density of states at the Fermi level comes out at 2.277 states/eV per atom. The space group is C2/m, No. 12. Its calculated total energy is -9.273 eV per atom.

Cell lengths 6.716, 6.756, 6.753 Å; angles 59.98, 80.34, 70.40 degrees
Last column: magnetic moment on the atom in μB.
Sites, in units of the cell vectors:
1 U 0.000 0.665 0.669  1.83
2 U 0.500 0.500 0.000  1.92
3 U 0.500 0.830 0.340  1.90
4 U 0.500 0.170 0.660  1.90
5 U 0.000 0.335 0.331  1.83
6 P 0.752 0.759 0.000  -0.06
7 P 0.248 0.241 0.000  -0.06
8 P 0.758 0.080 0.325  -0.06
9 P 0.242 0.595 0.325  -0.06
10 P 0.242 0.920 0.675  -0.06
11 P 0.758 0.405 0.675  -0.06
12 Hf 0.000 0.000 0.000  -0.05

DFT (PBE) results for a relaxed MgCoIr crystal.

For the formation energy, the calculation gives -0.166 eV per atom. The density of states at the Fermi level comes out at 1.303 states/eV per atom. The space group is Imma, No. 74. Its calculated total energy is -6.020 eV per atom.

Cell lengths 5.005, 5.005, 5.005 Å; angles 89.44, 57.29, 116.74 degrees
Last column: magnetic moment on the atom in μB.
Sites, in units of the cell vectors:
1 Ir 0.000 0.500 0.000  0.11
2 Ir 0.500 0.000 0.000  0.11
3 Co 0.000 0.500 0.500  1.06
4 Co 0.500 0.500 0.000  1.06
5 Mg 0.750 0.875 0.375  -0.01
6 Mg 0.250 0.125 0.625  -0.01

DFT (PBE) results for a relaxed Tb2Al8Fe crystal.

For the formation energy, the calculation gives -0.402 eV per atom. The density of states at the Fermi level comes out at 0.425 states/eV per atom. The space group is P4/mmm, No. 123. Its calculated total energy is -4.735 eV per atom.

Cell lengths 4.221, 4.221, 11.260 Å; angles 90.00, 90.00, 90.00 degrees
Sites, in units of the cell vectors:
1 Al 0.500 0.500 0.308
2 Al 0.500 0.000 0.114
3 Al 0.000 0.500 0.886
4 Al 0.500 0.000 0.500
5 Al 0.500 0.000 0.886
6 Al 0.000 0.500 0.114
7 Al 0.000 0.500 0.500
8 Al 0.500 0.500 0.692
9 Tb 0.000 0.000 0.694
10 Tb 0.000 0.000 0.306
11 Fe 0.000 0.000 0.000

DFT (PBE) results for a relaxed BaIn2Hg2 crystal.

For the formation energy, the calculation gives -0.308 eV per atom. The density of states at the Fermi level comes out at 0.504 states/eV per atom. The space group is P-1, No. 2. Its calculated total energy is -1.909 eV per atom.

Cell lengths 6.673, 8.988, 8.234 Å; angles 96.39, 71.85, 47.00 degrees
Sites, in units of the cell vectors:
1 In 0.917 0.703 0.642
2 In 0.083 0.297 0.358
3 In 0.614 0.319 0.280
4 In 0.386 0.681 0.720
5 Ba 0.956 0.755 0.184
6 Ba 0.044 0.245 0.816
7 Hg 0.402 0.865 0.043
8 Hg 0.598 0.135 0.957
9 Hg 0.387 0.773 0.384
10 Hg 0.613 0.227 0.616

DFT (PBE) results for a relaxed Cd2TeRu2 crystal.

The density of states at the Fermi level comes out at 1.358 states/eV per atom. The space group is P4/mbm, No. 127. Its calculated total energy is -4.464 eV per atom.

Cell lengths 6.639, 6.639, 4.413 Å; angles 90.00, 90.00, 90.00 degrees
Sites, in units of the cell vectors:
1 Ru 0.856 0.644 0.000
2 Ru 0.144 0.356 0.000
3 Ru 0.356 0.856 0.000
4 Ru 0.644 0.144 0.000
5 Cd 0.344 0.156 0.500
6 Cd 0.656 0.844 0.500
7 Cd 0.844 0.344 0.500
8 Cd 0.156 0.656 0.500
9 Te 0.500 0.500 0.000
10 Te 0.000 0.000 0.000

DFT (PBE) results for a relaxed Li3BiAu crystal.

For the formation energy, the calculation gives -0.259 eV per atom. The density of states at the Fermi level comes out at 0.543 states/eV per atom. The space group is Pm-3m, No. 221. Its calculated total energy is -2.839 eV per atom.

Cell lengths 4.817, 4.817, 4.817 Å; angles 90.00, 90.00, 90.00 degrees
Sites, in units of the cell vectors:
1 Bi 0.500 0.500 0.500
2 Li 0.000 0.500 0.000
3 Li 0.500 0.000 0.000
4 Li 0.000 0.000 0.500
5 Au 0.000 0.000 0.000

DFT (PBE) results for a relaxed Ga2SeCl crystal.

The density of states at the Fermi level comes out at 0.662 states/eV per atom. The space group is Fm-3m, No. 225. Its calculated total energy is -3.143 eV per atom.

Cell lengths 4.968, 4.968, 4.968 Å; angles 60.00, 60.00, 60.00 degrees
Sites, in units of the cell vectors:
1 Ga 0.250 0.250 0.250
2 Ga 0.750 0.750 0.750
3 Cl 0.000 0.000 0.000
4 Se 0.500 0.500 0.500

DFT (PBE) results for a relaxed MnRe2Se crystal.

The density of states at the Fermi level comes out at 0.899 states/eV per atom. The space group is Cmm2, No. 35. Its calculated total energy is -8.893 eV per atom.

Cell lengths 2.737, 2.737, 9.266 Å; angles 90.00, 90.00, 112.20 degrees
Last column: magnetic moment on the atom in μB.
Sites, in units of the cell vectors:
1 Re 0.000 0.000 0.987  -0.04
2 Re 0.500 0.500 0.215  -0.01
3 Se 0.000 0.000 0.542  -0.03
4 Mn 0.500 0.500 0.756  2.91

Q: Which of these has the lowest calculated total energy?
A: HfU5P6

Q: Among the records above, which one has the highest calculated total energy?
A: BaIn2Hg2

Q: Number 6 is which compound?
A: Li3BiAu

Q: Among the records above, which one has the lowest calculated total energy?
A: HfU5P6